Record 1
Entry from Alexandria: a relaxed structure of NaNpPa2N6 (PBE).

Computed properties:
- total moment (μB per cell) = 0.00

Cell lengths 6.1094, 6.1094, 6.1094 Å; angles 58.12, 58.12, 58.12 degrees
Sites, in units of the cell vectors:
1 Na 0.0000 0.0000 0.0000
2 Np 0.4695 0.4695 0.4695
3 Pa 0.2585 0.2585 0.2585
4 Pa 0.7712 0.7712 0.7712
5 N 0.0914 0.6035 0.4297
6 N 0.1842 0.5423 0.8496
7 N 0.4297 0.0914 0.6035
8 N 0.5423 0.8496 0.1842
9 N 0.6035 0.4297 0.0914
10 N 0.8496 0.1842 0.5423



Record 2
Entry from Alexandria: a relaxed structure of Na3NpPa2N6 (PBE).

Computed properties:
- total moment (μB per cell) = 2.00
- density of states at the Fermi level (states/eV/f.u.) = 7.185

Cell lengths 6.1654, 6.1654, 6.0321 Å; angles 99.78, 99.78, 120.01 degrees
Sites, in units of the cell vectors:
1 Na 0.0000 0.0000 0.0000
2 Na 0.3387 0.6613 0.0000
3 Na 0.6613 0.3387 0.0000
4 Np 0.5000 0.5000 0.5000
5 Pa 0.1668 0.8332 0.5000
6 Pa 0.8332 0.1668 0.5000
7 N 0.1122 0.4399 0.3195
8 N 0.2319 0.2319 0.6803
9 N 0.4399 0.1122 0.3195
10 N 0.5601 0.8878 0.6805
11 N 0.7681 0.7681 0.3197
12 N 0.8878 0.5601 0.6805



Record 3
Entry from Alexandria: a relaxed structure of Na2NpPaN4 (PBE).

Computed properties:
- total moment (μB per cell) = 2.00
- density of states at the Fermi level (states/eV/f.u.) = 5.166

Cell lengths 6.0049, 3.5556, 6.1163 Å; angles 90.00, 109.38, 90.00 degrees
Sites, in units of the cell vectors:
1 Na 0.0000 0.0000 0.0000
2 Na 0.0000 0.5000 0.5000
3 Np 0.5000 0.0000 0.5000
4 Pa 0.5000 0.5000 0.0000
5 N 0.3187 0.5000 0.2744
6 N 0.3202 0.0000 0.7647
7 N 0.6798 0.0000 0.2353
8 N 0.6813 0.5000 0.7256



Record 4
Entry from Alexandria: a relaxed structure of Na4Np3PaN8 (PBE).

Computed properties:
- total moment (μB per cell) = 6.00
- density of states at the Fermi level (states/eV/f.u.) = 17.130

Cell lengths 6.9633, 6.9633, 6.9633 Å; angles 60.67, 60.67, 60.67 degrees
Sites, in units of the cell vectors:
1 Na 0.0000 0.0000 0.0000
2 Na 0.0000 0.5000 0.5000
3 Na 0.5000 0.0000 0.5000
4 Na 0.5000 0.5000 0.0000
5 Np 0.0000 0.0000 0.5000
6 Np 0.0000 0.5000 0.0000
7 Np 0.5000 0.0000 0.0000
8 Pa 0.5000 0.5000 0.5000
9 N 0.2213 0.7294 0.7294
10 N 0.2268 0.2268 0.2268
11 N 0.2706 0.2706 0.7787
12 N 0.2706 0.7787 0.2706
13 N 0.7293 0.2213 0.7293
14 N 0.7293 0.7293 0.2213
15 N 0.7732 0.7732 0.7732
16 N 0.7787 0.2706 0.2707



Record 5
Entry from Alexandria: a relaxed structure of NaNp3Pa2N6 (PBE).

Computed properties:
- total moment (μB per cell) = 10.15
- density of states at the Fermi level (states/eV/f.u.) = 19.880

Cell lengths 7.7330, 7.7330, 6.9583 Å; angles 103.44, 103.44, 25.97 degrees
Sites, in units of the cell vectors:
1 Na 0.0000 0.0000 0.0000
2 Np 0.0000 0.0000 0.5000
3 Np 0.3380 0.3380 0.1652
4 Np 0.6620 0.6620 0.8348
5 Pa 0.3335 0.3335 0.6697
6 Pa 0.6665 0.6665 0.3303
7 N 0.1645 0.1645 0.5822
8 N 0.1721 0.1721 0.0904
9 N 0.4969 0.4969 0.7165
10 N 0.5031 0.5031 0.2835
11 N 0.8279 0.8279 0.9096
12 N 0.8355 0.8355 0.4178



Record 6
Entry from Alexandria: a relaxed structure of NaNp4PbN8 (PBE).

Computed properties:
- total moment (μB per cell) = 7.00
- density of states at the Fermi level (states/eV/f.u.) = 21.111

Cell lengths 6.7601, 6.7601, 6.7601 Å; angles 61.37, 61.37, 61.37 degrees
Sites, in units of the cell vectors:
1 Na 0.0000 0.0000 0.0000
2 Np 0.0012 0.0012 0.4983
3 Np 0.0012 0.4983 0.0012
4 Np 0.4983 0.0012 0.0012
5 Np 0.6125 0.6125 0.6125
6 Pb 0.3819 0.3819 0.3819
7 N 0.2135 0.7444 0.7444
8 N 0.2277 0.2277 0.2277
9 N 0.2498 0.2498 0.8188
10 N 0.2498 0.8188 0.2498
11 N 0.7444 0.2135 0.7444
12 N 0.7444 0.7444 0.2135
13 N 0.7614 0.7614 0.7614
14 N 0.8188 0.2498 0.2498



Record 7
Entry from Alexandria: a relaxed structure of NaPmNp4N8 (PBE).

Computed properties:
- total moment (μB per cell) = 8.00
- density of states at the Fermi level (states/eV/f.u.) = 20.530

Cell lengths 6.6595, 6.6595, 6.6595 Å; angles 62.39, 62.39, 62.39 degrees
Sites, in units of the cell vectors:
1 Na 0.0000 0.0000 0.0000
2 Pm 0.3857 0.3857 0.3857
3 Np 0.0012 0.0012 0.4988
4 Np 0.0012 0.4988 0.0012
5 Np 0.4988 0.0012 0.0012
6 Np 0.6151 0.6151 0.6151
7 N 0.2147 0.7450 0.7450
8 N 0.2353 0.2353 0.2353
9 N 0.2508 0.2508 0.8071
10 N 0.2508 0.8071 0.2508
11 N 0.7450 0.2147 0.7450
12 N 0.7450 0.7450 0.2147
13 N 0.7595 0.7595 0.7595
14 N 0.8071 0.2508 0.2508



Record 8
Entry from Alexandria: a relaxed structure of NaPm2NpN4 (PBE).

Computed properties:
- total moment (μB per cell) = 1.64
- density of states at the Fermi level (states/eV/f.u.) = 4.257

Cell lengths 6.1845, 4.8978, 6.1849 Å; angles 66.67, 46.65, 66.68 degrees
Sites, in units of the cell vectors:
1 Na 0.0000 0.0000 0.0000
2 Pm 0.2516 0.2516 0.2484
3 Pm 0.7516 0.7516 0.7484
4 Np 0.5058 0.5058 0.4942
5 N 0.2989 0.7056 0.2944
6 N 0.4983 0.9834 0.5017
7 N 0.7056 0.2989 0.7011
8 N 0.9834 0.4983 0.0166



Record 9
Entry from Alexandria: a relaxed structure of NaPr2NpN4 (PBE).

Computed properties:
- total moment (μB per cell) = 1.56
- density of states at the Fermi level (states/eV/f.u.) = 4.660

Cell lengths 6.2691, 4.9831, 6.2700 Å; angles 66.57, 46.83, 66.59 degrees
Sites, in units of the cell vectors:
1 Na 0.0000 0.0000 0.0000
2 Pr 0.2462 0.2462 0.2538
3 Pr 0.7462 0.7462 0.7538
4 Np 0.4876 0.4876 0.5124
5 N 0.0359 0.5032 0.9641
6 N 0.2944 0.6953 0.3047
7 N 0.5032 0.0359 0.4968
8 N 0.6953 0.2944 0.7056



Record 10
Entry from Alexandria: a relaxed structure of Na2PuNpN4 (PBE).

Computed properties:
- total moment (μB per cell) = 5.00
- density of states at the Fermi level (states/eV/f.u.) = 11.343

Cell lengths 5.9839, 3.4857, 6.0329 Å; angles 90.00, 109.81, 90.00 degrees
Sites, in units of the cell vectors:
1 Na 0.0000 0.0000 0.0000
2 Na 0.0000 0.5000 0.5000
3 Pu 0.5000 0.0000 0.5000
4 Np 0.5000 0.5000 0.0000
5 N 0.3176 0.0000 0.7831
6 N 0.3220 0.5000 0.2627
7 N 0.6780 0.5000 0.7373
8 N 0.6824 0.0000 0.2169



Record 11
Entry from Alexandria: a relaxed structure of Na4PuNp3N8 (PBE).

Computed properties:
- total moment (μB per cell) = 6.99
- density of states at the Fermi level (states/eV/f.u.) = 19.899

Cell lengths 6.9276, 6.9276, 6.9409 Å; angles 119.60, 119.60, 60.45 degrees
Sites, in units of the cell vectors:
1 Na 0.0000 0.0000 0.0000
2 Na 0.0000 0.5000 0.5000
3 Na 0.5000 0.0000 0.5000
4 Na 0.5000 0.5000 0.0000
5 Pu 0.0000 0.0000 0.5000
6 Np 0.0000 0.5000 0.0000
7 Np 0.5000 0.0000 0.0000
8 Np 0.5000 0.5000 0.5000
9 N 0.2312 0.2312 0.7848
10 N 0.2377 0.7122 0.2707
11 N 0.2742 0.2742 0.2318
12 N 0.2878 0.7623 0.7293
13 N 0.7122 0.2377 0.2707
14 N 0.7258 0.7258 0.7682
15 N 0.7623 0.2878 0.7293
16 N 0.7688 0.7688 0.2152



Record 12
Entry from Alexandria: a relaxed structure of NaNpReN4 (PBE).

Computed properties:
- total moment (μB per cell) = 6.00
- density of states at the Fermi level (states/eV/f.u.) = 6.692

Cell lengths 6.0760, 5.9521, 7.1220 Å; angles 90.00, 93.70, 90.00 degrees
Sites, in units of the cell vectors:
1 Na 0.1474 0.2500 0.3808
2 Na 0.8526 0.7500 0.6192
3 Np 0.3147 0.2500 0.9392
4 Np 0.6853 0.7500 0.0608
5 Re 0.1902 0.7500 0.1549
6 Re 0.8098 0.2500 0.8451
7 N 0.0307 0.7500 0.9330
8 N 0.0407 0.2500 0.6930
9 N 0.3905 0.5122 0.1665
10 N 0.3905 0.9878 0.1665
11 N 0.6095 0.0122 0.8335
12 N 0.6095 0.4878 0.8335
13 N 0.9593 0.7500 0.3070
14 N 0.9693 0.2500 0.0670



Listing final energy for the structures above in their given order: -94.282; -98.940; -66.581; -135.086; -122.862; -132.029; -137.536; -65.913; -65.367; -69.921; -138.361; -62.788 eV/f.u..